No. 1
# BaRe3Ir

A relaxed BaRe3Ir crystal (PBE, Alexandria via LeMat-Bulk).

Output
Offset from the most stable computed form (meV/atom): 0.0
D(E_F) (states/eV/atom): 1.827
Symmetry: Pm-3m, No. 221
Energy of formation from the pure elements (eV/atom): 1.75
Magnetic moment (Bohr magnetons per cell): 1.14

a b c (Å): 4.881 4.881 4.881
angles (deg): 90.00 90.00 90.00
Sites, in units of the cell vectors:
Re 0.000 0.500 0.000
Re 0.000 0.000 0.500
Re 0.500 0.000 0.000
Ir 0.000 0.000 0.000
Ba 0.500 0.500 0.500

***

No. 2
# BaReIr2

A relaxed BaReIr2 crystal (PBE, Alexandria via LeMat-Bulk).

Output
Offset from the most stable computed form (meV/atom): 54.1
D(E_F) (states/eV/atom): 0.704
Symmetry: Cm, No. 8
Energy of formation from the pure elements (eV/atom): 0.14
Magnetic moment (Bohr magnetons per cell): 0.00

a b c (Å): 4.442 4.442 6.442
angles (deg): 69.91 69.91 60.00
Sites, in units of the cell vectors:
Re 0.431 0.431 0.709
Ir 0.063 0.063 0.813
Ir 0.761 0.761 0.718
Ba 0.246 0.246 0.260

***

Copy entry 2 word for word.
# BaReIr2

A relaxed BaReIr2 crystal (PBE, Alexandria via LeMat-Bulk).

Output
Offset from the most stable computed form (meV/atom): 54.1
D(E_F) (states/eV/atom): 0.704
Symmetry: Cm, No. 8
Energy of formation from the pure elements (eV/atom): 0.14
Magnetic moment (Bohr magnetons per cell): 0.00

a b c (Å): 4.442 4.442 6.442
angles (deg): 69.91 69.91 60.00
Sites, in units of the cell vectors:
Re 0.431 0.431 0.709
Ir 0.063 0.063 0.813
Ir 0.761 0.761 0.718
Ba 0.246 0.246 0.260